20
Lattice="6.6507 0.0000 0.0000 0.0000 8.5664 0.0000 0.0000 0.0000 8.9813" Properties=species:S:1:pos:R:3 comment="TmSc3Hg (PBE, optimized geometry)" spacegroup=Pnma dft_energy_ev_per_atom=-4.828 ef_ev_per_atom=-0.0746 pbc="T T T"
Tm 1.9475 5.5402 6.7360
Tm 1.3779 1.2571 2.2453
Tm 4.7032 3.0261 2.2453
Tm 5.2728 7.3093 6.7360
Sc 5.9180 1.4351 8.5710
Sc 4.0580 5.7182 4.0803
Sc 4.0580 5.7182 0.4103
Sc 0.7327 7.1313 4.0803
Sc 0.7327 7.1313 0.4103
Sc 2.5927 2.8481 4.9010
Sc 2.5927 2.8481 8.5710
Sc 5.9180 1.4351 4.9010
Sc 1.5065 0.2373 6.7360
Sc 1.8189 4.5205 2.2453
Sc 5.1442 8.3290 2.2453
Sc 4.8318 4.0458 6.7360
Hg 0.0000 4.2832 0.0000
Hg 3.3254 0.0000 4.4907
Hg 3.3254 0.0000 0.0000
Hg 0.0000 4.2832 4.4907